Arrangement A

{
  "formula": "CrRe2Ni",
  "functional": "PBE",
  "state": "relaxed",
  "space_group": "P4mm, No. 99",
  "mass_density_kg_m3": 15033,
  "cell": [[2.6682, 0.0000, 0.0000], [0.0000, 2.6682, 0.0000], [0.0000, 0.0000, 7.4954]],
  "species": ["Cr", "Re", "Re", "Ni"],
  "fractional_positions": [[0.0000, 0.0000, 0.5095], [0.0000, 0.0000, 0.9881], [0.5000, 0.5000, 0.2628], [0.5000, 0.5000, 0.7396]]
}


Arrangement B

{
  "formula": "CrRe2Ni",
  "functional": "PBE",
  "state": "relaxed",
  "space_group": "Fm-3m, No. 225",
  "mass_density_kg_m3": 15202,
  "cell": [[0.0000, 2.9770, 2.9770], [2.9770, 0.0000, 2.9770], [2.9770, 2.9770, 0.0000]],
  "species": ["Re", "Re", "Cr", "Ni"],
  "fractional_positions": [[0.2500, 0.2500, 0.2500], [0.7500, 0.7500, 0.7500], [0.0000, 0.0000, 0.0000], [0.5000, 0.5000, 0.5000]]
}


Arrangement C

{
  "formula": "CrRe2Ni",
  "functional": "PBE",
  "state": "relaxed",
  "space_group": "Cmmm, No. 65",
  "mass_density_kg_m3": 15236,
  "cell": [[2.6262, 0.3883, 0.0000], [-0.3449, 2.6322, 0.0000], [0.0000, 0.0000, 7.4720]],
  "species": ["Re", "Re", "Cr", "Ni"],
  "fractional_positions": [[0.0000, 0.0000, 0.0020], [0.0000, 0.0000, 0.4980], [0.5000, 0.5000, 0.2500], [0.5000, 0.5000, 0.7500]]
}


Arrangement D

{
  "formula": "CrRe2Ni",
  "functional": "PBE",
  "state": "relaxed",
  "space_group": "I-42d, No. 122",
  "mass_density_kg_m3": 13921,
  "cell": [[-6.0659, 1.7190, 2.1834], [-2.6662, -2.1230, -5.7359], [-4.6699, -2.5640, -0.7608]],
  "species": ["Ni", "Ni", "Re", "Re", "Re", "Re", "Cr", "Cr"],
  "fractional_positions": [[0.7500, 0.2500, 0.5000], [0.0000, 0.0000, 0.0000], [0.8750, 0.8602, 0.7500], [0.3750, 0.3898, 0.7500], [0.1398, 0.6250, 0.2500], [0.6102, 0.1250, 0.2500], [0.5000, 0.5000, 0.0000], [0.2500, 0.7500, 0.5000]]
}


Tell me which of them is the least stable. Sure, it is arrangement D.


Arrangement A

{
  "formula": "Cr2ReNi2",
  "functional": "PBE",
  "state": "relaxed",
  "space_group": "P4/mbm, No. 127",
  "mass_density_kg_m3": 11218,
  "cell": [[6.8778, 0.0000, 0.0000], [0.0000, 6.8778, 0.0000], [0.0000, 0.0000, 2.5508]],
  "species": ["Re", "Re", "Ni", "Ni", "Ni", "Ni", "Cr", "Cr", "Cr", "Cr"],
  "fractional_positions": [[0.0000, 0.0000, 0.0000], [0.5000, 0.5000, 0.0000], [0.6216, 0.1216, 0.0000], [0.8784, 0.6216, 0.0000], [0.1216, 0.3784, 0.0000], [0.3784, 0.8784, 0.0000], [0.1755, 0.6755, 0.5000], [0.6755, 0.8245, 0.5000], [0.3245, 0.1755, 0.5000], [0.8245, 0.3245, 0.5000]]
}


Arrangement B

{
  "formula": "Cr2ReNi2",
  "functional": "PBE",
  "state": "relaxed",
  "space_group": "P4/mbm, No. 127",
  "mass_density_kg_m3": 11159,
  "cell": [[-4.4110, 5.3019, -0.4455], [-5.2339, -4.2199, 1.6017], [0.3516, 0.4996, 2.4650]],
  "species": ["Ni", "Ni", "Ni", "Ni", "Cr", "Cr", "Cr", "Cr", "Re", "Re"],
  "fractional_positions": [[0.8210, 0.3210, 0.5000], [0.3210, 0.1790, 0.5000], [0.1790, 0.6790, 0.5000], [0.6790, 0.8210, 0.5000], [0.6158, 0.1158, 0.0000], [0.1158, 0.3842, 0.0000], [0.3842, 0.8842, 0.0000], [0.8842, 0.6158, 0.0000], [0.0000, 0.0000, 0.0000], [0.5000, 0.5000, 0.0000]]
}


Tell me which of them is the least stable. Sure, it is arrangement B.


Arrangement A

{
  "formula": "ScCrReNi",
  "functional": "PBE",
  "state": "relaxed",
  "space_group": "Pm, No. 6",
  "mass_density_kg_m3": 9697,
  "cell": [[2.7011, 0.0000, -0.0270], [0.0000, 4.0526, 0.0000], [-1.2714, 0.0000, 5.3607]],
  "species": ["Ni", "Sc", "Cr", "Re"],
  "fractional_positions": [[0.5367, 0.5000, 0.5972], [0.9899, 0.0000, 0.3503], [0.4519, 0.5000, 0.0545], [0.0769, 0.0000, 0.8632]]
}


Arrangement B

{
  "formula": "ScCrReNi",
  "functional": "PBE",
  "state": "relaxed",
  "space_group": "P1, No. 1",
  "mass_density_kg_m3": 9765,
  "cell": [[2.9360, -0.0008, 0.0139], [0.0035, 4.2901, -0.0312], [1.4466, 2.0349, 4.6073]],
  "species": ["Ni", "Re", "Sc", "Cr"],
  "fractional_positions": [[0.3868, 0.1257, 0.5370], [0.1202, 0.2681, 0.0691], [0.8903, 0.6026, 0.5293], [0.6582, 0.8044, 0.9993]]
}


Arrangement C

{
  "formula": "ScCrReNi",
  "functional": "PBE",
  "state": "relaxed",
  "space_group": "F-43m, No. 216",
  "mass_density_kg_m3": 10034,
  "cell": [[-0.1380, 0.5167, -4.2750], [-5.7179, -2.1183, -0.0714], [-1.3523, 3.4883, 4.8106]],
  "species": ["Re", "Re", "Cr", "Cr", "Ni", "Ni", "Sc", "Sc"],
  "fractional_positions": [[0.5000, 0.8588, 0.5000], [0.5000, 0.3588, 0.0000], [0.0000, 0.1091, 0.5000], [0.0000, 0.6091, 0.0000], [0.0000, 0.1087, 0.0000], [0.0000, 0.6087, 0.5000], [0.5000, 0.3588, 0.5000], [0.5000, 0.8588, 0.0000]]
}


Tell me which of them is the least stable. Sure, it is arrangement A.